Density functional theory data (PBE with a Hubbard U) for a geometry-optimized SrFeP2O structure.

Cell lengths 4.9569, 4.9569, 3.8278 Å; angles 90.00, 90.00, 90.00 degrees
Atoms (fractional coordinates):
Sr  0.5000  0.5000  0.5000
Fe  0.0000  0.0000  0.0000
O  0.0000  0.0000  0.5000
P  0.0000  0.5000  0.0000
P  0.5000  0.0000  0.0000

Output
Raw total energy ... -24.695 eV per cell